Record 1
# Na2Sb2Pd2Pb | the Alexandria database | PBE-GGA | optimized geometry
# Formation energy without anion corrections (eV/atom): -0.03
data_Na2Sb2Pd2Pb
_chemical_formula_sum 'Na4 Sb4 Pd4 Pb2'
_space_group_name_H-M_alt 'I 4/m m m'
_space_group_IT_number 139
_space_group_name_Hall '-I 4 2'
_cell_length_a 5.180
_cell_length_b 5.180
_cell_length_c 15.626
_cell_angle_alpha 90.00
_cell_angle_beta 90.00
_cell_angle_gamma 90.00
loop_
_atom_site_label
_atom_site_type_symbol
_atom_site_fract_x
_atom_site_fract_y
_atom_site_fract_z
Na1 Na 0.000 0.000 0.198
Sb1 Sb 0.000 0.000 0.403
Pd1 Pd 0.000 0.500 0.000
Pb1 Pb 0.000 0.000 0.000

Record 2
# Na3Sb2Pd2Pb4 | the Alexandria database | PBE-GGA | optimized geometry
# Formation energy without anion corrections (eV/atom): -0.16
data_Na3Sb2Pd2Pb4
_chemical_formula_sum 'Na3 Sb2 Pd2 Pb4'
_space_group_name_H-M_alt 'P -3 m 1'
_space_group_IT_number 164
_space_group_name_Hall '-P 3 2"'
_cell_length_a 5.2738
_cell_length_b 5.2738
_cell_length_c 12.5824
_cell_angle_alpha 90.00
_cell_angle_beta 90.00
_cell_angle_gamma 120.00
loop_
_atom_site_label
_atom_site_type_symbol
_atom_site_fract_x
_atom_site_fract_y
_atom_site_fract_z
Na1 Na 0.0000 0.0000 0.0000
Na2 Na 0.0000 0.0000 0.3207
Sb1 Sb 0.3333 0.6667 0.1315
Pd1 Pd 0.3333 0.6667 0.5971
Pb1 Pb 0.3333 0.6667 0.3805
Pb2 Pb 0.3333 0.6667 0.8199

Record 3
# Na2Si2Pd5Pb | the Alexandria database | PBE-GGA | optimized geometry
# Formation energy without anion corrections (eV/atom): -0.44
data_Na2Si2Pd5Pb
_chemical_formula_sum 'Na4 Si4 Pd10 Pb2'
_space_group_name_H-M_alt 'P 4/m b m'
_space_group_IT_number 127
_space_group_name_Hall '-P 4 2ab'
_cell_length_a 10.468
_cell_length_b 10.468
_cell_length_c 3.315
_cell_angle_alpha 90.00
_cell_angle_beta 90.00
_cell_angle_gamma 90.00
loop_
_atom_site_label
_atom_site_type_symbol
_atom_site_fract_x
_atom_site_fract_y
_atom_site_fract_z
Na1 Na 0.176 0.324 0.000
Si1 Si 0.123 0.623 0.000
Pd1 Pd 0.000 0.500 0.500
Pd2 Pd 0.069 0.779 0.500
Pb1 Pb 0.000 0.000 0.000

Record 4
# NaSmPdPb | the Alexandria database | PBE-GGA | optimized geometry
# Raw total energy (eV for the cell shown): -65.3
data_NaSmPdPb
_chemical_formula_sum 'Na4 Sm4 Pd4 Pb4'
_space_group_name_H-M_alt 'F -4 3 m'
_space_group_IT_number 216
_space_group_name_Hall 'F -4 2 3'
_cell_length_a 7.317
_cell_length_b 7.317
_cell_length_c 7.317
_cell_angle_alpha 90.00
_cell_angle_beta 90.00
_cell_angle_gamma 90.00
loop_
_atom_site_label
_atom_site_type_symbol
_atom_site_fract_x
_atom_site_fract_y
_atom_site_fract_z
Na1 Na 0.000 0.000 0.000
Sm1 Sm 0.000 0.000 0.500
Pd1 Pd 0.250 0.250 0.750
Pb1 Pb 0.250 0.250 0.250

Record 5
# NaSrPdPb2 | the Alexandria database | PBE-GGA | optimized geometry
# Energy relative to the lowest polymorph listed for this composition (meV/atom): 0
data_NaSrPdPb2
_chemical_formula_sum 'Na1 Sr1 Pd1 Pb2'
_space_group_name_H-M_alt 'P 4/m m m'
_space_group_IT_number 123
_space_group_name_Hall '-P 4 2'
_cell_length_a 5.404
_cell_length_b 5.404
_cell_length_c 5.299
_cell_angle_alpha 90.00
_cell_angle_beta 90.00
_cell_angle_gamma 90.00
loop_
_atom_site_label
_atom_site_type_symbol
_atom_site_fract_x
_atom_site_fract_y
_atom_site_fract_z
Na1 Na 0.000 0.000 0.000
Sr1 Sr 0.500 0.500 0.000
Pd1 Pd 0.000 0.000 0.500
Pb1 Pb 0.000 0.500 0.500

Record 6
# NaSrPdPb2 | the Alexandria database | PBE-GGA | optimized geometry
# Energy relative to the lowest polymorph listed for this composition (meV/atom): 37
data_NaSrPdPb2
_chemical_formula_sum 'Na1 Sr1 Pd1 Pb2'
_space_group_name_H-M_alt 'P 4/m m m'
_space_group_IT_number 123
_space_group_name_Hall '-P 4 2'
_cell_length_a 5.488
_cell_length_b 5.488
_cell_length_c 5.609
_cell_angle_alpha 90.00
_cell_angle_beta 90.00
_cell_angle_gamma 90.00
loop_
_atom_site_label
_atom_site_type_symbol
_atom_site_fract_x
_atom_site_fract_y
_atom_site_fract_z
Na1 Na 0.000 0.000 0.000
Sr1 Sr 0.500 0.500 0.000
Pd1 Pd 0.500 0.500 0.500
Pb1 Pb 0.000 0.500 0.500

Record 7
# Na2TlPdPb | the Alexandria database | PBE-GGA | optimized geometry
# Raw total energy (eV for the cell shown): -14.0
data_Na2TlPdPb
_chemical_formula_sum 'Na2 Tl1 Pd1 Pb1'
_space_group_name_H-M_alt 'P 4/m m m'
_space_group_IT_number 123
_space_group_name_Hall '-P 4 2'
_cell_length_a 5.424
_cell_length_b 5.424
_cell_length_c 5.232
_cell_angle_alpha 90.00
_cell_angle_beta 90.00
_cell_angle_gamma 90.00
loop_
_atom_site_label
_atom_site_type_symbol
_atom_site_fract_x
_atom_site_fract_y
_atom_site_fract_z
Na1 Na 0.000 0.500 0.000
Tl1 Tl 0.000 0.000 0.500
Pd1 Pd 0.500 0.500 0.000
Pb1 Pb 0.500 0.500 0.500

Record 8
# NaTlPdPb2 | the Alexandria database | PBE-GGA | optimized geometry
# Energy relative to the lowest polymorph listed for this composition (meV/atom): 0
data_NaTlPdPb2
_chemical_formula_sum 'Na1 Tl1 Pd1 Pb2'
_space_group_name_H-M_alt 'P 4/m m m'
_space_group_IT_number 123
_space_group_name_Hall '-P 4 2'
_cell_length_a 5.322
_cell_length_b 5.322
_cell_length_c 5.410
_cell_angle_alpha 90.00
_cell_angle_beta 90.00
_cell_angle_gamma 90.00
loop_
_atom_site_label
_atom_site_type_symbol
_atom_site_fract_x
_atom_site_fract_y
_atom_site_fract_z
Na1 Na 0.000 0.000 0.000
Tl1 Tl 0.500 0.500 0.000
Pd1 Pd 0.000 0.000 0.500
Pb1 Pb 0.000 0.500 0.500

Record 9
# NaTlPdPb2 | the Alexandria database | PBE-GGA | optimized geometry
# Energy relative to the lowest polymorph listed for this composition (meV/atom): 46
data_NaTlPdPb2
_chemical_formula_sum 'Na1 Tl1 Pd1 Pb2'
_space_group_name_H-M_alt 'P 4/m m m'
_space_group_IT_number 123
_space_group_name_Hall '-P 4 2'
_cell_length_a 5.464
_cell_length_b 5.464
_cell_length_c 5.374
_cell_angle_alpha 90.00
_cell_angle_beta 90.00
_cell_angle_gamma 90.00
loop_
_atom_site_label
_atom_site_type_symbol
_atom_site_fract_x
_atom_site_fract_y
_atom_site_fract_z
Na1 Na 0.000 0.000 0.000
Tl1 Tl 0.500 0.500 0.000
Pd1 Pd 0.500 0.500 0.500
Pb1 Pb 0.000 0.500 0.500

Record 10
# NaV2PdPb | the Alexandria database | PBE-GGA | optimized geometry
# Raw total energy (eV for the cell shown): -20.5
data_NaV2PdPb
_chemical_formula_sum 'Na1 V2 Pd1 Pb1'
_space_group_name_H-M_alt 'P 4/m m m'
_space_group_IT_number 123
_space_group_name_Hall '-P 4 2'
_cell_length_a 4.582
_cell_length_b 4.582
_cell_length_c 4.614
_cell_angle_alpha 90.00
_cell_angle_beta 90.00
_cell_angle_gamma 90.00
loop_
_atom_site_label
_atom_site_type_symbol
_atom_site_fract_x
_atom_site_fract_y
_atom_site_fract_z
Na1 Na 0.000 0.000 0.000
V1 V 0.000 0.500 0.000
Pd1 Pd 0.000 0.000 0.500
Pb1 Pb 0.500 0.500 0.500

Record 11
# NaYPdPb | the Alexandria database | PBE-GGA | optimized geometry
# Raw total energy (eV for the cell shown): -72.5
data_NaYPdPb
_chemical_formula_sum 'Na4 Y4 Pd4 Pb4'
_space_group_name_H-M_alt 'F -4 3 m'
_space_group_IT_number 216
_space_group_name_Hall 'F -4 2 3'
_cell_length_a 7.234
_cell_length_b 7.234
_cell_length_c 7.234
_cell_angle_alpha 90.00
_cell_angle_beta 90.00
_cell_angle_gamma 90.00
loop_
_atom_site_label
_atom_site_type_symbol
_atom_site_fract_x
_atom_site_fract_y
_atom_site_fract_z
Na1 Na 0.000 0.000 0.000
Y1 Y 0.000 0.000 0.500
Pd1 Pd 0.250 0.250 0.750
Pb1 Pb 0.250 0.250 0.250

Record 12
# Na2Zn2Pd5Pb | the Alexandria database | PBE-GGA | optimized geometry
# Raw total energy (eV for the cell shown): -76.2
data_Na2Zn2Pd5Pb
_chemical_formula_sum 'Na4 Zn4 Pd10 Pb2'
_space_group_name_H-M_alt 'P 4/m b m'
_space_group_IT_number 127
_space_group_name_Hall '-P 4 2ab'
_cell_length_a 9.646
_cell_length_b 9.646
_cell_length_c 3.862
_cell_angle_alpha 90.00
_cell_angle_beta 90.00
_cell_angle_gamma 90.00
loop_
_atom_site_label
_atom_site_type_symbol
_atom_site_fract_x
_atom_site_fract_y
_atom_site_fract_z
Na1 Na 0.174 0.326 0.000
Zn1 Zn 0.124 0.624 0.000
Pd1 Pd 0.000 0.500 0.500
Pd2 Pd 0.069 0.791 0.500
Pb1 Pb 0.000 0.000 0.000

Record 13
# Na2Pm3Pb3 | the Alexandria database | PBE-GGA | optimized geometry
# Raw total energy (eV for the cell shown): -61.1
data_Na2Pm3Pb3
_chemical_formula_sum 'Na4 Pm6 Pb6'
_space_group_name_H-M_alt 'I m m m'
_space_group_IT_number 71
_space_group_name_Hall '-I 2 2'
_cell_length_a 4.360
_cell_length_b 4.899
_cell_length_c 22.732
_cell_angle_alpha 90.00
_cell_angle_beta 90.00
_cell_angle_gamma 90.00
loop_
_atom_site_label
_atom_site_type_symbol
_atom_site_fract_x
_atom_site_fract_y
_atom_site_fract_z
Na1 Na 0.000 0.000 0.250
Pm1 Pm 0.000 0.000 0.000
Pm2 Pm 0.000 0.500 0.120
Pb1 Pb 0.000 0.000 0.500
Pb2 Pb 0.000 0.500 0.364

Record 14
# NaPmPb2 | the Alexandria database | PBE-GGA | optimized geometry
# Raw total energy (eV for the cell shown): -15.0
data_NaPmPb2
_chemical_formula_sum 'Na1 Pm1 Pb2'
_space_group_name_H-M_alt 'P 4/m m m'
_space_group_IT_number 123
_space_group_name_Hall '-P 4 2'
_cell_length_a 4.969
_cell_length_b 4.969
_cell_length_c 4.612
_cell_angle_alpha 90.00
_cell_angle_beta 90.00
_cell_angle_gamma 90.00
loop_
_atom_site_label
_atom_site_type_symbol
_atom_site_fract_x
_atom_site_fract_y
_atom_site_fract_z
Na1 Na 0.000 0.000 0.000
Pm1 Pm 0.500 0.500 0.000
Pb1 Pb 0.000 0.500 0.500

Record 15
# NaPm4Pb2 | the Alexandria database | PBE-GGA | optimized geometry
# Raw total energy (eV for the cell shown): -55.1
data_NaPm4Pb2
_chemical_formula_sum 'Na2 Pm8 Pb4'
_space_group_name_H-M_alt 'I 4/m m m'
_space_group_IT_number 139
_space_group_name_Hall '-I 4 2'
_cell_length_a 5.946
_cell_length_b 5.946
_cell_length_c 13.050
_cell_angle_alpha 90.00
_cell_angle_beta 90.00
_cell_angle_gamma 90.00
loop_
_atom_site_label
_atom_site_type_symbol
_atom_site_fract_x
_atom_site_fract_y
_atom_site_fract_z
Na1 Na 0.000 0.000 0.000
Pm1 Pm 0.000 0.500 0.000
Pm2 Pm 0.000 0.500 0.250
Pb1 Pb 0.000 0.000 0.371

Record 16
# Na2PmPb3 | the Alexandria database | PBE-GGA | optimized geometry
# Energy relative to the lowest polymorph listed for this composition (meV/atom): 7
data_Na2PmPb3
_chemical_formula_sum 'Na2 Pm1 Pb3'
_space_group_name_H-M_alt 'P 4/m m m'
_space_group_IT_number 123
_space_group_name_Hall '-P 4 2'
_cell_length_a 3.676
_cell_length_b 3.676
_cell_length_c 12.844
_cell_angle_alpha 90.00
_cell_angle_beta 90.00
_cell_angle_gamma 90.00
loop_
_atom_site_label
_atom_site_type_symbol
_atom_site_fract_x
_atom_site_fract_y
_atom_site_fract_z
Na1 Na 0.000 0.000 0.163
Pm1 Pm 0.000 0.000 0.500
Pb1 Pb 0.500 0.500 0.000
Pb2 Pb 0.500 0.500 0.326

Record 17
# NaPmPb2 | the Alexandria database | PBE-GGA | optimized geometry
# Raw total energy (eV for the cell shown): -41.5
data_NaPmPb2
_chemical_formula_sum 'Na3 Pm3 Pb6'
_space_group_name_H-M_alt 'R 3 m'
_space_group_IT_number 160
_space_group_name_Hall 'R 3 -2"'
_cell_length_a 4.8612
_cell_length_b 4.8612
_cell_length_c 19.7314
_cell_angle_alpha 90.00
_cell_angle_beta 90.00
_cell_angle_gamma 120.00
loop_
_atom_site_label
_atom_site_type_symbol
_atom_site_fract_x
_atom_site_fract_y
_atom_site_fract_z
Na1 Na 0.0000 0.0000 0.0000
Pm1 Pm 0.0000 0.0000 0.1855
Pb1 Pb 0.0000 0.0000 0.5959
Pb2 Pb 0.0000 0.0000 0.7573

Record 18
# NaPmPb3 | the Alexandria database | PBE-GGA | optimized geometry
# Energy relative to the lowest polymorph listed for this composition (meV/atom): 9
data_NaPmPb3
_chemical_formula_sum 'Na4 Pm4 Pb12'
_space_group_name_H-M_alt 'P 1 2/c 1'
_space_group_IT_number 13
_space_group_name_Hall '-P 2yc'
_cell_length_a 6.547
_cell_length_b 14.251
_cell_length_c 6.469
_cell_angle_alpha 90.00
_cell_angle_beta 90.13
_cell_angle_gamma 90.00
loop_
_atom_site_label
_atom_site_type_symbol
_atom_site_fract_x
_atom_site_fract_y
_atom_site_fract_z
Na1 Na 0.000 0.102 0.250
Na2 Na 0.500 0.102 0.250
Pm1 Pm 0.250 0.316 0.503
Pb1 Pb 0.000 0.495 0.750
Pb2 Pb 0.250 0.104 0.714
Pb3 Pb 0.250 0.287 0.012
Pb4 Pb 0.500 0.496 0.750

Record 19
# NaPm5Pb8 | the Alexandria database | PBE-GGA | optimized geometry
# Raw total energy (eV for the cell shown): -118.7
data_NaPm5Pb8
_chemical_formula_sum 'Na2 Pm10 Pb16'
_space_group_name_H-M_alt 'I -4'
_space_group_IT_number 82
_space_group_name_Hall 'I -4'
_cell_length_a 9.710
_cell_length_b 9.710
_cell_length_c 9.263
_cell_angle_alpha 90.00
_cell_angle_beta 90.00
_cell_angle_gamma 90.00
loop_
_atom_site_label
_atom_site_type_symbol
_atom_site_fract_x
_atom_site_fract_y
_atom_site_fract_z
Na1 Na 0.000 0.000 0.000
Pm1 Pm 0.000 0.500 0.250
Pm2 Pm 0.120 0.220 0.624
Pb1 Pb 0.063 0.340 0.946
Pb2 Pb 0.098 0.180 0.274

Record 20
# NaPm6Pb4 | the Alexandria database | PBE-GGA | optimized geometry
# Raw total energy (eV for the cell shown): -47.8
data_NaPm6Pb4
_chemical_formula_sum 'Na1 Pm6 Pb4'
_space_group_name_H-M_alt 'P -6 m 2'
_space_group_IT_number 187
_space_group_name_Hall 'P -6 2'
_cell_length_a 9.9784
_cell_length_b 9.9784
_cell_length_c 4.3272
_cell_angle_alpha 90.00
_cell_angle_beta 90.00
_cell_angle_gamma 120.00
loop_
_atom_site_label
_atom_site_type_symbol
_atom_site_fract_x
_atom_site_fract_y
_atom_site_fract_z
Na1 Na 0.0000 0.0000 0.0000
Pm1 Pm 0.0728 0.5364 0.0000
Pm2 Pm 0.3870 0.1935 0.5000
Pb1 Pb 0.1725 0.3451 0.5000
Pb2 Pb 0.6667 0.3333 0.0000

Record 21
# NaPm5Pb4 | the Alexandria database | PBE-GGA | optimized geometry
# Raw total energy (eV for the cell shown): -82.8
data_NaPm5Pb4
_chemical_formula_sum 'Na2 Pm10 Pb8'
_space_group_name_H-M_alt 'C 1 2/m 1'
_space_group_IT_number 12
_space_group_name_Hall '-C 2y'
_cell_length_a 17.909
_cell_length_b 3.698
_cell_length_c 9.800
_cell_angle_alpha 90.00
_cell_angle_beta 93.87
_cell_angle_gamma 90.00
loop_
_atom_site_label
_atom_site_type_symbol
_atom_site_fract_x
_atom_site_fract_y
_atom_site_fract_z
Na1 Na 0.000 0.000 0.000
Pm1 Pm 0.000 0.000 0.500
Pm2 Pm 0.149 0.500 0.221
Pm3 Pm 0.190 0.500 0.607
Pb1 Pb 0.035 0.500 0.766
Pb2 Pb 0.178 0.000 0.919

Record 22
# NaPm6Pb6 | the Alexandria database | PBE-GGA | optimized geometry
# Raw total energy (eV for the cell shown): -56.9
data_NaPm6Pb6
_chemical_formula_sum 'Na1 Pm6 Pb6'
_space_group_name_H-M_alt 'P 6/m m m'
_space_group_IT_number 191
_space_group_name_Hall '-P 6 2'
_cell_length_a 6.6940
_cell_length_b 6.6940
_cell_length_c 10.6813
_cell_angle_alpha 90.00
_cell_angle_beta 90.00
_cell_angle_gamma 120.00
loop_
_atom_site_label
_atom_site_type_symbol
_atom_site_fract_x
_atom_site_fract_y
_atom_site_fract_z
Na1 Na 0.0000 0.0000 0.0000
Pm1 Pm 0.0000 0.0000 0.3341
Pm2 Pm 0.3333 0.6667 0.0000
Pm3 Pm 0.3333 0.6667 0.5000
Pb1 Pb 0.0000 0.5000 0.2469

Record 23
# NaPm4Pb4 | the Alexandria database | PBE-GGA | optimized geometry
# Raw total energy (eV for the cell shown): -75.3
data_NaPm4Pb4
_chemical_formula_sum 'Na2 Pm8 Pb8'
_space_group_name_H-M_alt 'P 42/n'
_space_group_IT_number 86
_cell_length_a 9.325
_cell_length_b 9.325
_cell_length_c 6.550
_cell_angle_alpha 90.00
_cell_angle_beta 90.00
_cell_angle_gamma 90.00
loop_
_space_group_symop_operation_xyz
'x,y,z'
'-x,-y,-z'
'-y,x+1/2,z+1/2'
'y,-x+1/2,-z+1/2'
'-x+1/2,-y+1/2,z'
'x+1/2,y+1/2,-z'
'y+1/2,-x,z+1/2'
'-y+1/2,x,-z+1/2'
loop_
_atom_site_label
_atom_site_type_symbol
_atom_site_fract_x
_atom_site_fract_y
_atom_site_fract_z
Na1 Na 0.250 0.250 0.250
Pm1 Pm 0.019 0.674 0.111
Pb1 Pb 0.019 0.656 0.598